1.
A relaxed NbI2N2 crystal. Source: Alexandria via LeMat-Bulk, functional PBEsol.

The structure in extended XYZ format:
```
5
Lattice="4.038 0.000 0.000 0.000 4.038 0.000 0.000 0.000 6.686" Properties=species:S:1:pos:R:3 pbc="T T T"
Nb 0.000 0.000 0.000
I 2.019 2.019 0.000
I 2.019 2.019 3.343
N 0.000 2.019 3.343
N 2.019 0.000 3.343
```

Properties
Uncorrected energy ... -4.20 eV per atom
ΔE_f (raw) ... 2.082 eV/atom
Volume ... 109.02 Å³/cell

---

2.
A relaxed NbIN2O crystal. Source: Alexandria via LeMat-Bulk, functional PBEsol.

The structure in extended XYZ format:
```
5
Lattice="4.031 0.000 0.000 0.000 4.031 0.000 0.000 0.000 3.901" Properties=species:S:1:pos:R:3 pbc="T T T"
Nb 0.000 0.000 0.000
I 2.015 2.015 0.000
N 0.000 2.015 1.951
N 2.015 0.000 1.951
O 2.015 2.015 1.951
```

Properties
Uncorrected energy ... -5.23 eV per atom
ΔE_f (raw) ... 1.744 eV/atom
Volume ... 63.39 Å³/cell

---

3.
A relaxed NbIN2O crystal. Source: Alexandria via LeMat-Bulk, functional PBEsol.

The structure in extended XYZ format:
```
5
Lattice="4.222 0.000 0.000 0.000 4.222 0.000 0.000 0.000 3.885" Properties=species:S:1:pos:R:3 pbc="T T T"
Nb 0.000 0.000 0.000
I 2.111 2.111 1.942
N 0.000 2.111 0.000
N 2.111 0.000 0.000
O 0.000 0.000 1.942
```

Properties
Uncorrected energy ... -6.91 eV per atom
ΔE_f (raw) ... 0.064 eV/atom
Volume ... 69.26 Å³/cell

---

4.
A relaxed NbOsI2N crystal. Source: Alexandria via LeMat-Bulk, functional PBEsol.

The structure in extended XYZ format:
```
5
Lattice="5.457 0.000 0.000 0.000 5.457 0.000 0.000 0.000 3.674" Properties=species:S:1:pos:R:3 pbc="T T T"
Nb 0.000 0.000 0.000
Os 2.729 2.729 1.837
I 0.000 2.729 1.837
I 2.729 0.000 1.837
N 2.729 2.729 0.000
```

Properties
Uncorrected energy ... -6.15 eV per atom
ΔE_f (raw) ... 0.869 eV/atom
Volume ... 109.44 Å³/cell

---

5.
A relaxed NbPdIN2 crystal. Source: Alexandria via LeMat-Bulk, functional PBEsol.

The structure in extended XYZ format:
```
5
Lattice="3.955 0.000 0.000 0.000 3.955 0.000 0.000 0.000 5.964" Properties=species:S:1:pos:R:3 pbc="T T T"
Nb 0.000 0.000 0.000
Pd 1.977 1.977 2.982
I 0.000 0.000 2.982
N 0.000 1.977 0.000
N 1.977 0.000 0.000
```

Properties
Uncorrected energy ... -6.64 eV per atom
ΔE_f (raw) ... 0.477 eV/atom
Volume ... 93.28 Å³/cell

---

6.
A relaxed NbTeIN2 crystal. Source: Alexandria via LeMat-Bulk, functional PBEsol.

The structure in extended XYZ format:
```
5
Lattice="3.983 0.000 0.000 0.000 3.983 0.000 0.000 0.000 6.722" Properties=species:S:1:pos:R:3 pbc="T T T"
Nb 0.000 0.000 0.000
Te 1.991 1.991 0.000
I 1.991 1.991 3.361
N 0.000 1.991 3.361
N 1.991 0.000 3.361
```

Properties
Uncorrected energy ... -4.71 eV per atom
ΔE_f (raw) ... 1.926 eV/atom
Volume ... 106.63 Å³/cell
Energy above the lowest structure with this stoichiometry ... 7.36 eV/f.u.

---

7.
A relaxed NbTeIN2 crystal. Source: Alexandria via LeMat-Bulk, functional PBEsol.

The structure in extended XYZ format:
```
5
Lattice="4.135 0.000 0.000 0.000 4.135 0.000 0.000 0.000 5.890" Properties=species:S:1:pos:R:3 pbc="T T T"
Nb 0.000 0.000 0.000
Te 0.000 0.000 2.945
I 2.067 2.067 2.945
N 0.000 2.067 0.000
N 2.067 0.000 0.000
```

Properties
Uncorrected energy ... -6.18 eV per atom
ΔE_f (raw) ... 0.454 eV/atom
Volume ... 100.69 Å³/cell
Energy above the lowest structure with this stoichiometry ... 0.00 eV/f.u.

---

8.
A relaxed NbTlIN2 crystal. Source: Alexandria via LeMat-Bulk, functional PBEsol.

The structure in extended XYZ format:
```
5
Lattice="4.200 0.000 0.000 0.000 4.200 0.000 0.000 0.000 5.693" Properties=species:S:1:pos:R:3 pbc="T T T"
Nb 0.000 0.000 0.000
Tl 2.100 2.100 2.847
I 0.000 0.000 2.847
N 0.000 2.100 0.000
N 2.100 0.000 0.000
```

Properties
Uncorrected energy ... -6.10 eV per atom
ΔE_f (raw) ... 0.351 eV/atom
Volume ... 100.45 Å³/cell

---

9.
A relaxed YNbIN2 crystal. Source: Alexandria via LeMat-Bulk, functional PBEsol.

The structure in extended XYZ format:
```
5
Lattice="4.148 0.000 0.000 0.000 4.148 0.000 0.000 0.000 5.365" Properties=species:S:1:pos:R:3 pbc="T T T"
Y 0.000 0.000 0.000
Nb 2.074 2.074 2.682
I 2.074 2.074 0.000
N 0.000 2.074 2.682
N 2.074 0.000 2.682
```

Properties
Uncorrected energy ... -7.31 eV per atom
ΔE_f (raw) ... -0.013 eV/atom
Volume ... 92.32 Å³/cell
Energy above the lowest structure with this stoichiometry ... 0.00 eV/f.u.

---

10.
A relaxed YNbIN2 crystal. Source: Alexandria via LeMat-Bulk, functional PBEsol.

The structure in extended XYZ format:
```
5
Lattice="4.366 0.000 0.000 0.000 4.366 0.000 0.000 0.000 5.732" Properties=species:S:1:pos:R:3 pbc="T T T"
Y 0.000 0.000 0.000
Nb 2.183 2.183 2.866
I 0.000 0.000 2.866
N 0.000 2.183 0.000
N 2.183 0.000 0.000
```

Properties
Uncorrected energy ... -6.23 eV per atom
ΔE_f (raw) ... 1.060 eV/atom
Volume ... 109.27 Å³/cell
Energy above the lowest structure with this stoichiometry ... 5.37 eV/f.u.

---

11.
A relaxed NbZnIN2 crystal. Source: Alexandria via LeMat-Bulk, functional PBEsol.

The structure in extended XYZ format:
```
5
Lattice="3.974 0.000 0.000 0.000 3.974 0.000 0.000 0.000 5.184" Properties=species:S:1:pos:R:3 pbc="T T T"
Nb 0.000 0.000 0.000
Zn 1.987 1.987 2.592
I 1.987 1.987 0.000
N 0.000 1.987 2.592
N 1.987 0.000 2.592
```

Properties
Uncorrected energy ... -4.60 eV per atom
ΔE_f (raw) ... 1.642 eV/atom
Volume ... 81.85 Å³/cell

---

12.
A relaxed ZrNbIN2 crystal. Source: Alexandria via LeMat-Bulk, functional PBEsol.

The structure in extended XYZ format:
```
5
Lattice="4.180 0.000 0.000 0.000 4.180 0.000 0.000 0.000 5.608" Properties=species:S:1:pos:R:3 pbc="T T T"
Zr 0.000 0.000 0.000
Nb 2.090 2.090 2.804
I 0.000 0.000 2.804
N 0.000 2.090 0.000
N 2.090 0.000 0.000
```

Properties
Uncorrected energy ... -6.98 eV per atom
ΔE_f (raw) ... 0.763 eV/atom
Volume ... 97.98 Å³/cell

---

13.
A relaxed ReNiIN2 crystal. Source: Alexandria via LeMat-Bulk, functional PBEsol.

The structure in extended XYZ format:
```
5
Lattice="3.779 0.000 0.000 0.000 3.779 0.000 0.000 0.000 5.760" Properties=species:S:1:pos:R:3 pbc="T T T"
Re 0.000 0.000 0.000
Ni 1.890 1.890 2.880
I 0.000 0.000 2.880
N 0.000 1.890 0.000
N 1.890 0.000 0.000
```

Properties
Uncorrected energy ... -6.93 eV per atom
ΔE_f (raw) ... 0.734 eV/atom
Volume ... 82.27 Å³/cell

---

14.
A relaxed NiSeIN2 crystal. Source: Alexandria via LeMat-Bulk, functional PBEsol.

The structure in extended XYZ format:
```
5
Lattice="3.830 0.000 0.000 0.000 3.830 0.000 0.000 0.000 5.820" Properties=species:S:1:pos:R:3 pbc="T T T"
Ni 0.000 0.000 0.000
Se 1.915 1.915 0.000
I 1.915 1.915 2.910
N 0.000 1.915 2.910
N 1.915 0.000 2.910
```

Properties
Uncorrected energy ... -3.87 eV per atom
ΔE_f (raw) ... 1.894 eV/atom
Volume ... 85.37 Å³/cell
Energy above the lowest structure with this stoichiometry ... 1.82 eV/f.u.

---

15.
A relaxed NiSeIN2 crystal. Source: Alexandria via LeMat-Bulk, functional PBEsol.

The structure in extended XYZ format:
```
5
Lattice="3.660 0.000 0.000 0.000 3.660 0.000 0.000 0.000 6.966" Properties=species:S:1:pos:R:3 pbc="T T T"
Ni 0.000 0.000 0.000
Se 1.830 1.830 3.483
I 1.830 1.830 0.000
N 0.000 1.830 3.483
N 1.830 0.000 3.483
```

Properties
Uncorrected energy ... -4.24 eV per atom
ΔE_f (raw) ... 1.531 eV/atom
Volume ... 93.33 Å³/cell
Energy above the lowest structure with this stoichiometry ... 0.00 eV/f.u.

---

16.
A relaxed NiTeIN2 crystal. Source: Alexandria via LeMat-Bulk, functional PBEsol.

The structure in extended XYZ format:
```
5
Lattice="4.024 0.000 0.000 0.000 4.024 0.000 0.000 0.000 5.454" Properties=species:S:1:pos:R:3 pbc="T T T"
Ni 0.000 0.000 0.000
Te 2.012 2.012 2.727
I 0.000 0.000 2.727
N 0.000 2.012 0.000
N 2.012 0.000 0.000
```

Properties
Uncorrected energy ... -4.18 eV per atom
ΔE_f (raw) ... 1.522 eV/atom
Volume ... 88.29 Å³/cell

---

17.
A relaxed OsIN2O crystal. Source: Alexandria via LeMat-Bulk, functional PBEsol.

The structure in extended XYZ format:
```
5
Lattice="3.805 0.000 0.000 0.000 3.805 0.000 0.000 0.000 4.174" Properties=species:S:1:pos:R:3 pbc="T T T"
Os 0.000 0.000 0.000
I 1.903 1.903 0.000
N 0.000 1.903 2.087
N 1.903 0.000 2.087
O 1.903 1.903 2.087
```

Properties
Uncorrected energy ... -4.76 eV per atom
ΔE_f (raw) ... 2.497 eV/atom
Volume ... 60.43 Å³/cell

---

18.
A relaxed PtIN2O crystal. Source: Alexandria via LeMat-Bulk, functional PBEsol.

The structure in extended XYZ format:
```
5
Lattice="3.834 0.000 0.000 0.000 3.834 0.000 0.000 0.000 4.541" Properties=species:S:1:pos:R:3 pbc="T T T"
Pt 0.000 0.000 0.000
I 1.917 1.917 0.000
N 0.000 1.917 2.271
N 1.917 0.000 2.271
O 1.917 1.917 2.271
```

Properties
Uncorrected energy ... -3.98 eV per atom
ΔE_f (raw) ... 2.223 eV/atom
Volume ... 66.76 Å³/cell

---

19.
A relaxed RuIN2O crystal. Source: Alexandria via LeMat-Bulk, functional PBEsol.

The structure in extended XYZ format:
```
5
Lattice="4.053 0.000 0.000 0.000 4.053 0.000 0.000 0.000 3.958" Properties=species:S:1:pos:R:3 pbc="T T T"
Ru 0.000 0.000 0.000
I 2.027 2.027 1.979
N 0.000 2.027 1.979
N 2.027 0.000 1.979
O 2.027 2.027 0.000
```

Properties
Uncorrected energy ... -4.88 eV per atom
ΔE_f (raw) ... 1.968 eV/atom
Volume ... 65.03 Å³/cell

---

20.
A relaxed RuINO2 crystal. Source: Alexandria via LeMat-Bulk, functional PBEsol.

The structure in extended XYZ format:
```
5
Lattice="3.757 0.000 0.000 0.000 3.757 0.000 0.000 0.000 4.251" Properties=species:S:1:pos:R:3 pbc="T T T"
Ru 0.000 0.000 0.000
I 1.878 1.878 0.000
N 1.878 1.878 2.125
O 0.000 1.878 2.125
O 1.878 0.000 2.125
```

Properties
Uncorrected energy ... -4.68 eV per atom
ΔE_f (raw) ... 1.517 eV/atom
Volume ... 59.99 Å³/cell

---

21.
A relaxed RuINO2 crystal. Source: Alexandria via LeMat-Bulk, functional PBEsol.

The structure in extended XYZ format:
```
5
Lattice="3.892 0.000 0.000 0.000 3.892 0.000 0.000 0.000 3.957" Properties=species:S:1:pos:R:3 pbc="T T T"
Ru 0.000 0.000 0.000
I 1.946 1.946 1.979
N 0.000 0.000 1.979
O 0.000 1.946 0.000
O 1.946 0.000 0.000
```

Properties
Uncorrected energy ... -6.01 eV per atom
ΔE_f (raw) ... 0.188 eV/atom
Volume ... 59.94 Å³/cell

---

22.
A relaxed SbIN2O crystal. Source: Alexandria via LeMat-Bulk, functional PBEsol.

The structure in extended XYZ format:
```
5
Lattice="4.161 0.000 0.000 0.000 4.161 0.000 0.000 0.000 3.892" Properties=species:S:1:pos:R:3 pbc="T T T"
Sb 0.000 0.000 0.000
I 2.080 2.080 1.946
N 0.000 2.080 0.000
N 2.080 0.000 0.000
O 0.000 0.000 1.946
```

Properties
Uncorrected energy ... -4.93 eV per atom
ΔE_f (raw) ... 0.793 eV/atom
Volume ... 67.39 Å³/cell

---

23.
A relaxed SnIN2O crystal. Source: Alexandria via LeMat-Bulk, functional PBEsol.

The structure in extended XYZ format:
```
5
Lattice="4.217 0.000 0.000 0.000 4.217 0.000 0.000 0.000 3.938" Properties=species:S:1:pos:R:3 pbc="T T T"
Sn 0.000 0.000 0.000
I 2.109 2.109 1.969
N 0.000 2.109 0.000
N 2.109 0.000 0.000
O 0.000 0.000 1.969
```

Properties
Uncorrected energy ... -4.76 eV per atom
ΔE_f (raw) ... 0.902 eV/atom
Volume ... 70.04 Å³/cell

---

24.
A relaxed TaIN2O crystal. Source: Alexandria via LeMat-Bulk, functional PBEsol.

The structure in extended XYZ format:
```
5
Lattice="3.858 0.000 0.000 0.000 3.858 0.000 0.000 0.000 5.853" Properties=species:S:1:pos:R:3 pbc="T T T"
Ta 0.000 0.000 0.000
I 0.000 0.000 2.927
N 0.000 1.929 0.000
N 1.929 0.000 0.000
O 1.929 1.929 2.927
```

Properties
Uncorrected energy ... -6.73 eV per atom
ΔE_f (raw) ... 0.598 eV/atom
Volume ... 87.12 Å³/cell

---

25.
A relaxed TcIN2O crystal. Source: Alexandria via LeMat-Bulk, functional PBEsol.

The structure in extended XYZ format:
```
5
Lattice="3.687 0.000 0.000 0.000 3.687 0.000 0.000 0.000 5.620" Properties=species:S:1:pos:R:3 pbc="T T T"
Tc 0.000 0.000 0.000
I 0.000 0.000 2.810
N 0.000 1.843 0.000
N 1.843 0.000 0.000
O 1.843 1.843 2.810
```

Properties
Uncorrected energy ... -6.37 eV per atom
ΔE_f (raw) ... 0.699 eV/atom
Volume ... 76.39 Å³/cell

---

26.
A relaxed WIN2O crystal. Source: Alexandria via LeMat-Bulk, functional PBEsol.

The structure in extended XYZ format:
```
5
Lattice="3.961 0.000 0.000 0.000 3.961 0.000 0.000 0.000 3.910" Properties=species:S:1:pos:R:3 pbc="T T T"
W 0.000 0.000 0.000
I 1.981 1.981 0.000
N 0.000 1.981 1.955
N 1.981 0.000 1.955
O 1.981 1.981 1.955
```

Properties
Uncorrected energy ... -5.27 eV per atom
ΔE_f (raw) ... 2.302 eV/atom
Volume ... 61.36 Å³/cell

---

27.
A relaxed YINO2 crystal. Source: Alexandria via LeMat-Bulk, functional PBEsol.

The structure in extended XYZ format:
```
5
Lattice="4.196 0.000 0.000 0.000 4.196 0.000 0.000 0.000 4.031" Properties=species:S:1:pos:R:3 pbc="T T T"
Y 0.000 0.000 0.000
I 2.098 2.098 0.000
N 2.098 2.098 2.016
O 0.000 2.098 2.016
O 2.098 0.000 2.016
```

Properties
Uncorrected energy ... -5.52 eV per atom
ΔE_f (raw) ... 0.002 eV/atom
Volume ... 70.97 Å³/cell

---

28.
A relaxed ZrINO2 crystal. Source: Alexandria via LeMat-Bulk, functional PBEsol.

The structure in extended XYZ format:
```
5
Lattice="4.034 0.000 0.000 0.000 4.034 0.000 0.000 0.000 4.556" Properties=species:S:1:pos:R:3 pbc="T T T"
Zr 0.000 0.000 0.000
I 2.017 2.017 2.278
N 0.000 0.000 2.278
O 0.000 2.017 0.000
O 2.017 0.000 0.000
```

Properties
Uncorrected energy ... -6.81 eV per atom
ΔE_f (raw) ... -0.838 eV/atom
Volume ... 74.14 Å³/cell

---

29.
A relaxed ZrI2NO crystal. Source: Alexandria via LeMat-Bulk, functional PBEsol.

The structure in extended XYZ format:
```
5
Lattice="4.867 0.000 0.000 0.000 4.867 0.000 0.000 0.000 3.653" Properties=species:S:1:pos:R:3 pbc="T T T"
Zr 0.000 0.000 0.000
I 0.000 2.433 1.827
I 2.433 0.000 1.827
N 2.433 2.433 1.827
O 2.433 2.433 0.000
```

Properties
Uncorrected energy ... -4.56 eV per atom
ΔE_f (raw) ... 0.724 eV/atom
Volume ... 86.54 Å³/cell